{"formula": "ScSnRuC2", "functional": "GGA-PBE", "state": "relaxed", "formation_enthalpy_0k_ev_per_atom": 2.51, "magmom_total_mub_per_fu": 1.332, "lattice": [[4.160, 0.000, 0.000], [0.000, 4.160, 0.000], [0.000, 0.000, 5.621]], "species": ["Sc", "Sn", "Ru", "C", "C"], "frac_coords": [[0.000, 0.000, 0.000], [0.000, 0.000, 0.500], [0.500, 0.500, 0.000], [0.000, 0.500, 0.500], [0.500, 0.000, 0.500]]}